First-principles (PBE-GGA) data for SrPdNO after structural relaxation, as listed in the Open Quantum Materials Database.

For the density, the calculation gives 6.373 g cm⁻³. The calculated volume comes out at 116.8 Å³/cell. Its energy above the most stable polymorph in this dataset is 0.499 eV per atom.

The structure belongs to space group P4/nmm (No. 129, origin choice 2); the cell edges are 5.006, 5.006 and 4.658 Å and the angles 90.00°, 90.00° and 90.00°. Symmetry generates all atoms from Sr at (0.250, 0.750, 0.000), Pd at (0.250, 0.250, 0.486), N at (0.250, 0.250, 0.040) and O at (0.250, 0.750, 0.500).